Entry 1:
Material: Y3SeS3
Method: DFT, PBE
State: optimized geometry

Structure (extended XYZ):
```
28
Lattice="1.982 -9.552 -0.425 7.163 4.601 4.783 -8.451 1.365 4.698" Properties=species:S:1:pos:R:3 pbc="T T T"
S 6.381 -1.411 3.431
Y 0.277 -1.176 9.023
Y -3.114 -5.134 4.348
Y -5.697 -2.128 5.594
S -3.985 -0.285 4.580
S 3.705 -8.331 0.804
S 0.419 -2.711 6.791
S 0.445 -2.402 -0.017
S -0.792 -6.143 5.434
Se 1.164 -5.673 2.051
Y 0.332 -0.864 2.265
Y -1.713 -1.309 5.755
S 3.179 -5.405 5.422
Y 3.275 2.862 7.025
Se -2.113 0.341 1.174
Y 4.640 -3.262 4.495
Y -2.973 4.705 8.234
S -0.199 0.588 4.545
S -5.296 -3.746 3.400
Se 5.068 -4.864 2.073
S 3.789 1.495 4.689
Y 0.922 -4.171 4.562
Se -1.444 -2.944 3.332
S 2.426 -2.226 3.320
Y -2.513 1.810 3.684
S -2.638 -6.461 2.031
Y 5.962 0.156 5.605
Y 1.496 2.509 3.654
```

distance to the lowest polymorph of the same formula	0	meV/atom
formation energy without anion corrections	-193.0	kJ per mole of atoms

***

Entry 2:
Material: SiBi3C
Method: DFT, PBE
State: optimized geometry

Structure (extended XYZ):
```
5
Lattice="4.987 0.000 0.000 0.000 4.987 0.000 0.000 0.000 4.987" Properties=species:S:1:pos:R:3 pbc="T T T"
Bi 0.000 2.494 0.000
C 0.000 0.000 0.000
Bi 0.000 0.000 2.494
Si 2.494 2.494 2.494
Bi 2.494 0.000 0.000
```

distance to the lowest polymorph of the same formula	0	meV/atom
formation energy without anion corrections	110.6	kJ per mole of atoms

***

Entry 3:
Material: K2YMo
Method: DFT, PBE
State: optimized geometry

Structure (extended XYZ):
```
4
Lattice="7.193 0.001 0.000 -4.551 5.570 0.000 0.000 0.000 3.487" Properties=species:S:1:pos:R:3 pbc="T T T"
K 0.000 0.000 0.000
K 1.321 2.786 0.000
Mo 3.596 0.001 1.743
Y -2.275 2.785 1.743
```

distance to the lowest polymorph of the same formula	517	meV/atom
DFT formation energy	29.9	kcal/mol of atoms

***

Entry 4:
Material: Y6SiTe3S2
Method: DFT, PBE
State: optimized geometry

Structure (extended XYZ):
```
12
Lattice="7.131 0.001 0.002 -3.563 6.177 0.002 -1.188 -2.057 7.068" Properties=species:S:1:pos:R:3 pbc="T T T"
Y 3.561 2.075 5.586
Y -1.181 2.046 1.487
Y 2.362 0.000 1.487
Y -0.005 -0.009 5.587
Te 1.190 2.061 3.536
Te -2.372 4.118 3.536
S 3.566 2.060 0.002
Y 0.018 4.122 5.586
Y 2.386 4.130 1.485
S 0.002 4.118 0.002
Te 4.752 0.003 3.536
Si 0.000 0.000 0.000
```

formation energy without anion corrections	-147.3	kJ per mole of atoms

***

Entry 5:
Material: K2InAsPd
Method: DFT, PBE
State: optimized geometry

Structure (extended XYZ):
```
5
Lattice="-1.540 4.874 -3.692 -1.287 -3.266 -3.775 -5.909 -0.206 2.193" Properties=species:S:1:pos:R:3 pbc="T T T"
Pd -4.368 0.701 -2.637
In -0.643 -1.633 -1.887
K -0.770 2.437 -1.846
K -2.954 -0.103 1.096
As 0.000 0.000 0.000
```

DFT formation energy	6.4	kcal/mol of atoms

***

Entry 6:
Material: Er3SiAg3O8
Method: DFT, PBE
State: optimized geometry

Structure (extended XYZ):
```
15
Lattice="-4.268 -2.927 -4.094 -0.957 -0.286 6.521 -1.001 5.972 -3.228" Properties=species:S:1:pos:R:3 pbc="T T T"
O -4.222 1.812 -2.212
O -1.896 3.345 -0.415
O -2.456 3.179 3.394
O -2.003 0.946 1.412
Er -0.979 2.843 1.647
O -4.329 -0.586 -0.385
O -1.276 1.289 -1.803
Er -3.113 1.379 -0.400
O -4.949 1.470 1.003
Si -0.500 2.986 -1.614
Ag -0.478 -0.143 3.260
Er -2.634 1.522 -3.661
Ag 0.000 0.000 0.000
O -3.769 -0.421 -4.194
Ag -2.612 -1.607 1.214
```

formation energy without anion corrections	-208.6	kJ per mole of atoms

***

Entry 7:
Material: ZrCoRh2
Method: DFT, PBE
State: optimized geometry

Structure (extended XYZ):
```
4
Lattice="-3.705 8.076 1.988 -5.603 6.408 3.234 -3.257 7.145 4.609" Properties=species:S:1:pos:R:3 pbc="T T T"
Rh -3.186 5.484 2.493
Rh -0.052 0.089 0.040
Zr -6.266 10.786 4.903
Co -9.343 16.084 7.311
```

DFT formation energy	3.0	kcal/mol of atoms

***

Entry 8:
Material: YTaCd2
Method: DFT, PBE
State: optimized geometry

Structure (extended XYZ):
```
4
Lattice="-4.146 -1.063 -0.061 0.654 -2.449 -1.808 1.531 -6.175 3.571" Properties=species:S:1:pos:R:3 pbc="T T T"
Cd 0.676 -2.541 -1.675
Y -0.434 -6.999 1.292
Cd 1.071 -4.220 0.749
Ta -1.527 -2.687 0.411
```

distance to the lowest polymorph of the same formula	37	meV/atom
DFT formation energy	3.6	kcal/mol of atoms

***

The magnetic moment results, record by record, are as follows: 0.0; 0.0; 2.9; 0.0; 0.7; 0.0; 1.8; 0.3 μB per formula unit.
The E results, record by record, are as follows: -7.0371; -4.1121; -3.5742; -6.6837; -2.6773; -6.6510; -7.4612; -4.8824 eV/atom.